ZnSi: relaxed, GGA-PBE.

abc: 4.671 4.671 4.671
angles: 127.75 127.75 77.02
Fractional positions:
1 Si 0.250 0.750 0.500
2 Si 0.000 0.000 0.000
3 Zn 0.500 0.500 0.000
4 Zn 0.750 0.250 0.500

Calculated values
crystal system: tetragonal
formation energy from raw total energies: 345 meV per atom
magnetization: 0.000 Bohr magnetons per cell
space group: I4_1/amd, No. 141
density of states at the Fermi level: 1.18 states/eV/cell
electronic total energy: -3.003 eV/atom